--- one ---
# PBE RbVBr3, optimized geometry
data_RbVBr3
_space_group_name_H-M_alt 'P 1'
_space_group_IT_number 1
_cell_length_a 6.1715
_cell_length_b 6.1715
_cell_length_c 6.1715
_cell_angle_alpha 90.00
_cell_angle_beta 90.00
_cell_angle_gamma 90.00
loop_
_space_group_symop_operation_xyz
'x,y,z'
loop_
_atom_site_label
_atom_site_type_symbol
_atom_site_fract_x
_atom_site_fract_y
_atom_site_fract_z
Br1 Br 0.5000 0.0000 0.0000
Br2 Br 0.0000 0.5000 0.0000
V1 V 0.5000 0.5000 0.5000
Br3 Br 0.0000 0.0000 0.5000
Rb1 Rb 0.0000 0.0000 0.0000
# D(E_F) ... 16.5 states/eV/cell
# Theoretical density ... 2.7 Mg/m³

--- two ---
# PBE RbVBr3, optimized geometry
data_RbVBr3
_space_group_name_H-M_alt 'P 1'
_space_group_IT_number 1
_cell_length_a 13.0006
_cell_length_b 13.0006
_cell_length_c 6.6037
_cell_angle_alpha 90.00
_cell_angle_beta 90.00
_cell_angle_gamma 120.00
loop_
_space_group_symop_operation_xyz
'x,y,z'
loop_
_atom_site_label
_atom_site_type_symbol
_atom_site_fract_x
_atom_site_fract_y
_atom_site_fract_z
Br1 Br 0.8256 0.3324 0.3298
Rb1 Rb 0.0000 0.3356 0.7738
Br2 Br 0.6676 0.4933 0.3298
Br3 Br 0.1744 0.6676 0.8298
Br4 Br 0.4933 0.6676 0.3298
Br5 Br 0.8408 0.0000 0.6887
Br6 Br 0.8256 0.4933 0.8298
Br7 Br 0.1592 0.0000 0.1887
Rb2 Rb 0.3356 0.3356 0.2738
Rb3 Rb 0.6644 0.6644 0.7738
Br8 Br 0.0000 0.1592 0.1887
Rb4 Rb 0.6644 0.0000 0.2738
Br9 Br 0.1592 0.1592 0.6887
Br10 Br 0.6676 0.1744 0.8298
Rb5 Rb 0.3356 0.0000 0.7738
Br11 Br 0.5067 0.1744 0.3298
Br12 Br 0.0000 0.8408 0.6887
Rb6 Rb 0.0000 0.6644 0.2738
V1 V 0.3333 0.6667 0.0790
Br13 Br 0.1744 0.5067 0.3298
V2 V 0.3333 0.6667 0.5790
V3 V 0.0000 0.0000 0.9399
V4 V 0.6667 0.3333 0.5790
Br14 Br 0.8408 0.8408 0.1887
Br15 Br 0.3324 0.8256 0.3298
V5 V 0.6667 0.3333 0.0790
Br16 Br 0.4933 0.8256 0.8298
Br17 Br 0.5067 0.3324 0.8298
V6 V 0.0000 0.0000 0.4399
Br18 Br 0.3324 0.5067 0.8298
# Theoretical density ... 3.9 Mg/m³

Most stable structure - two; separation to the second - 1452 meV/atom.

--- one ---
# PBE RbVBr3, optimized geometry
data_RbVBr3
_space_group_name_H-M_alt 'P 1'
_space_group_IT_number 1
_cell_length_a 5.3273
_cell_length_b 5.3273
_cell_length_c 5.3273
_cell_angle_alpha 90.00
_cell_angle_beta 90.00
_cell_angle_gamma 90.00
loop_
_space_group_symop_operation_xyz
'x,y,z'
loop_
_atom_site_label
_atom_site_type_symbol
_atom_site_fract_x
_atom_site_fract_y
_atom_site_fract_z
Br1 Br 0.0000 0.0000 0.5000
V1 V 0.0000 0.0000 0.0000
Br2 Br 0.0000 0.5000 0.0000
Rb1 Rb 0.5000 0.5000 0.5000
Br3 Br 0.5000 0.0000 0.0000
# D(E_F) ... 1.5 states/eV/cell
# Theoretical density ... 4.1 Mg/m³

--- two ---
# PBE RbVBr3, optimized geometry
data_RbVBr3
_space_group_name_H-M_alt 'P 1'
_space_group_IT_number 1
_cell_length_a 3.8892
_cell_length_b 9.1106
_cell_length_c 16.1577
_cell_angle_alpha 90.00
_cell_angle_beta 90.00
_cell_angle_gamma 90.00
loop_
_space_group_symop_operation_xyz
'x,y,z'
loop_
_atom_site_label
_atom_site_type_symbol
_atom_site_fract_x
_atom_site_fract_y
_atom_site_fract_z
Br1 Br 0.2500 0.0414 0.1067
V1 V 0.2500 0.1062 0.9575
Br2 Br 0.7500 0.9586 0.8933
Br3 Br 0.2500 0.2023 0.4969
Rb1 Rb 0.7500 0.0574 0.6669
Br4 Br 0.7500 0.4586 0.6067
V2 V 0.7500 0.8938 0.0425
V3 V 0.2500 0.6062 0.5425
Br5 Br 0.2500 0.7023 0.0031
Br6 Br 0.2500 0.7475 0.6907
Rb2 Rb 0.7500 0.5574 0.8331
Br7 Br 0.7500 0.2977 0.9969
Rb3 Rb 0.2500 0.9426 0.3331
Br8 Br 0.2500 0.5414 0.3933
Br9 Br 0.7500 0.2525 0.3093
Br10 Br 0.7500 0.7525 0.1907
V4 V 0.7500 0.3938 0.4575
Br11 Br 0.2500 0.2475 0.8093
Rb4 Rb 0.2500 0.4426 0.1669
Br12 Br 0.7500 0.7977 0.5031
# D(E_F) ... 1.9 states/eV/cell
# Theoretical density ... 4.4 Mg/m³

--- three ---
# PBE RbVBr3, optimized geometry
data_RbVBr3
_space_group_name_H-M_alt 'P 1'
_space_group_IT_number 1
_cell_length_a 7.5368
_cell_length_b 7.5368
_cell_length_c 6.5354
_cell_angle_alpha 90.00
_cell_angle_beta 90.00
_cell_angle_gamma 120.00
loop_
_space_group_symop_operation_xyz
'x,y,z'
loop_
_atom_site_label
_atom_site_type_symbol
_atom_site_fract_x
_atom_site_fract_y
_atom_site_fract_z
Rb1 Rb 0.6667 0.3333 0.2500
Rb2 Rb 0.3333 0.6667 0.7500
Br1 Br 0.8405 0.6810 0.7500
V1 V 0.0000 0.0000 0.5000
V2 V 0.0000 0.0000 0.0000
Br2 Br 0.1595 0.8405 0.2500
Br3 Br 0.8405 0.1595 0.7500
Br4 Br 0.6810 0.8405 0.2500
Br5 Br 0.3190 0.1595 0.7500
Br6 Br 0.1595 0.3190 0.2500
# Theoretical density ... 3.9 Mg/m³

Most stable structure - three; separation to the second - 89 meV/atom.

--- one ---
# PBE RbVBr2, optimized geometry
data_RbVBr2
_space_group_name_H-M_alt 'P 1'
_space_group_IT_number 1
_cell_length_a 9.9961
_cell_length_b 9.9961
_cell_length_c 9.9961
_cell_angle_alpha 23.92
_cell_angle_beta 23.92
_cell_angle_gamma 23.92
loop_
_space_group_symop_operation_xyz
'x,y,z'
loop_
_atom_site_label
_atom_site_type_symbol
_atom_site_fract_x
_atom_site_fract_y
_atom_site_fract_z
Rb1 Rb 0.0000 0.0000 0.0000
V1 V 0.5000 0.5000 0.5000
Br1 Br 0.8798 0.8798 0.8798
Br2 Br 0.1202 0.1202 0.1202
# D(E_F) ... 2.9 states/eV/cell
# Theoretical density ... 3.4 Mg/m³

--- two ---
# PBE RbVBr2, optimized geometry
data_RbVBr2
_space_group_name_H-M_alt 'P 1'
_space_group_IT_number 1
_cell_length_a 6.7232
_cell_length_b 6.7232
_cell_length_c 8.4812
_cell_angle_alpha 66.65
_cell_angle_beta 66.65
_cell_angle_gamma 90.00
loop_
_space_group_symop_operation_xyz
'x,y,z'
loop_
_atom_site_label
_atom_site_type_symbol
_atom_site_fract_x
_atom_site_fract_y
_atom_site_fract_z
Br1 Br 0.2269 0.6250 0.2500
Br2 Br 0.3750 0.4769 0.7500
Rb1 Rb 0.7500 0.2500 0.5000
Br3 Br 0.8750 0.7731 0.7500
Rb2 Rb 0.0000 0.0000 0.0000
V1 V 0.2500 0.7500 0.5000
Br4 Br 0.5231 0.1250 0.2500
V2 V 0.5000 0.5000 0.0000
# D(E_F) ... 6.2 states/eV/cell
# Theoretical density ... 3.1 Mg/m³

--- three ---
# PBE RbVBr2, optimized geometry
data_RbVBr2
_space_group_name_H-M_alt 'P 1'
_space_group_IT_number 1
_cell_length_a 5.4570
_cell_length_b 5.4570
_cell_length_c 5.4570
_cell_angle_alpha 60.00
_cell_angle_beta 60.00
_cell_angle_gamma 60.00
loop_
_space_group_symop_operation_xyz
'x,y,z'
loop_
_atom_site_label
_atom_site_type_symbol
_atom_site_fract_x
_atom_site_fract_y
_atom_site_fract_z
Br1 Br 0.7500 0.7500 0.7500
Br2 Br 0.2500 0.2500 0.2500
V1 V 0.0000 0.0000 0.0000
Rb1 Rb 0.5000 0.5000 0.5000
# D(E_F) ... 6.9 states/eV/cell
# Theoretical density ... 4.3 Mg/m³

Most stable structure - two; separation to the second - 65 meV/atom.